a | Entry from the Alexandria database: CuReRu after structural relaxation (GGA-PBEsol).

abc: 2.719 3.686 4.553
angles: 113.87 107.37 90.00
Fractional coordinates of all 3 atoms:
Cu 0.000 0.000 0.000
Ru 0.332 0.332 0.664
Re 0.668 0.668 0.336

Space group   Imm2
D(E_F)   2.17 states/eV/cell
Crystal system   orthorhombic

---

b | Entry from the Alexandria database: CuReRu after structural relaxation (GGA-PBEsol).

abc: 2.775 2.775 5.532
angles: 104.53 104.53 90.00
Fractional coordinates of all 3 atoms:
Re 0.670 0.670 0.339
Cu 0.000 0.000 0.999
Ru 0.331 0.331 0.662

Space group   I4mm
D(E_F)   2.64 states/eV/cell
Crystal system   tetragonal

---

It comes down to a, which is 7.5 kJ/mol of atoms more stable than the next structure.

---

a | Entry from the Alexandria database: CuReSi after structural relaxation (GGA-PBEsol).

abc: 2.708 3.334 4.743
angles: 110.58 106.59 90.00
Fractional coordinates of all 3 atoms:
Re 0.328 0.328 0.656
Si 0.660 0.660 0.320
Cu 0.012 0.012 0.023

Space group   Imm2
D(E_F)   2.85 states/eV/cell
Crystal system   orthorhombic

---

b | Entry from the Alexandria database: CuReSi after structural relaxation (GGA-PBEsol).

abc: 2.991 2.991 4.758
angles: 108.32 108.32 90.00
Fractional coordinates of all 3 atoms:
Re 0.676 0.676 0.352
Cu 0.989 0.989 0.978
Si 0.335 0.335 0.670

Space group   I4mm
D(E_F)   2.23 states/eV/cell
Crystal system   tetragonal

---

c | Entry from the Alexandria database: CuReSi after structural relaxation (GGA-PBEsol).

abc: 2.611 4.080 4.080
angles: 120.00 90.00 90.00
Fractional coordinates of all 3 atoms:
Si 0.169 0.667 0.333
Re 0.665 0.333 0.667
Cu 0.165 0.000 0.000

Space group   P3m1
D(E_F)   1.25 states/eV/cell
Crystal system   trigonal

---

It comes down to c, which is 10.1 kJ/mol of atoms more stable than the next structure.

---

a | Entry from the Alexandria database: SrCu2Re after structural relaxation (GGA-PBEsol).

abc: 4.319 4.708 4.708
angles: 65.60 62.70 62.70
Site moments in Bohr magnetons follow the coordinates.
Fractional coordinates of all 4 atoms:
Re 0.500 0.000 0.000  1.29
Cu 0.200 0.800 0.800  0.09
Cu 0.800 0.200 0.200  0.09
Sr 0.000 0.500 0.500  0.00

Space group   Immm
D(E_F)   3.77 states/eV/cell
Crystal system   orthorhombic

---

b | Entry from the Alexandria database: SrCu2Re after structural relaxation (GGA-PBEsol).

abc: 3.169 3.169 6.857
angles: 90.00 90.00 90.00
Fractional coordinates of all 4 atoms:
Sr 0.500 0.500 0.500
Cu 0.000 0.000 0.818
Cu 0.000 0.000 0.182
Re 0.500 0.500 0.000

Space group   P4/mmm
D(E_F)   4.25 states/eV/cell
Crystal system   tetragonal

---

It comes down to b, which is 30.3 kJ/mol of atoms more stable than the next structure.

---

a | Entry from the Alexandria database: TaCuRe2 after structural relaxation (GGA-PBEsol).

abc: 3.207 3.207 5.671
angles: 90.00 90.00 90.00
Fractional coordinates of all 4 atoms:
Ta 0.000 0.000 0.515
Re 0.000 0.000 0.989
Re 0.500 0.500 0.241
Cu 0.500 0.500 0.754

Space group   P4mm
D(E_F)   2.09 states/eV/cell
Crystal system   tetragonal

---

b | Entry from the Alexandria database: TaCuRe2 after structural relaxation (GGA-PBEsol).

abc: 3.201 3.201 5.700
angles: 90.00 90.00 90.00
Fractional coordinates of all 4 atoms:
Re 0.000 0.000 0.275
Re 0.000 0.000 0.725
Ta 0.500 0.500 0.000
Cu 0.500 0.500 0.500

Space group   P4/mmm
D(E_F)   4.45 states/eV/cell
Crystal system   tetragonal

---

It comes down to a, which is 2.6 kJ/mol of atoms more stable than the next structure.

---

a | Entry from the Alexandria database: CuRe2Tc after structural relaxation (GGA-PBEsol).

abc: 2.721 4.640 4.640
angles: 110.20 90.00 90.00
Fractional coordinates of all 4 atoms:
Cu 0.500 0.500 0.500
Tc 0.500 0.000 0.000
Re 0.000 0.500 0.000
Re 0.000 0.000 0.500

Space group   Cmmm
D(E_F)   3.86 states/eV/cell
Crystal system   orthorhombic

---

b | Entry from the Alexandria database: CuRe2Tc after structural relaxation (GGA-PBEsol).

abc: 3.098 3.098 5.704
angles: 90.00 90.00 90.00
Fractional coordinates of all 4 atoms:
Tc 0.500 0.500 0.000
Cu 0.500 0.500 0.500
Re 0.000 0.000 0.727
Re 0.000 0.000 0.273

Space group   P4/mmm
D(E_F)   3.90 states/eV/cell
Crystal system   tetragonal

---

It comes down to a, which is 8.3 kJ/mol of atoms more stable than the next structure.

---

a | Entry from the Alexandria database: TlCu2Re after structural relaxation (GGA-PBEsol).

abc: 2.782 4.711 4.978
angles: 98.78 90.00 107.18
Fractional coordinates of all 4 atoms:
Cu 0.741 0.482 0.703
Cu 0.259 0.518 0.297
Re 0.000 0.000 0.500
Tl 0.500 0.000 0.000

Space group   C2/m
D(E_F)   3.27 states/eV/cell
Crystal system   monoclinic

---

b | Entry from the Alexandria database: TlCu2Re after structural relaxation (GGA-PBEsol).

abc: 3.601 4.020 4.020
angles: 90.00 90.00 90.00
Fractional coordinates of all 4 atoms:
Tl 0.500 0.000 0.000
Re 0.500 0.500 0.500
Cu 0.000 0.000 0.500
Cu 0.000 0.500 0.000

Space group   P4/mmm
D(E_F)   2.05 states/eV/cell
Crystal system   tetragonal

---

It comes down to b, which is 4.3 kJ/mol of atoms more stable than the next structure.

---

a | Entry from the Alexandria database: Tl2CuRe after structural relaxation (GGA-PBEsol).

abc: 3.325 4.612 4.612
angles: 90.00 90.00 90.00
Fractional coordinates of all 4 atoms:
Tl 0.000 0.000 0.500
Tl 0.000 0.500 0.000
Cu 0.500 0.500 0.500
Re 0.500 0.000 0.000

Space group   P4/mmm
D(E_F)   2.31 states/eV/cell
Crystal system   tetragonal

---

b | Entry from the Alexandria database: Tl2CuRe after structural relaxation (GGA-PBEsol).

abc: 2.894 2.894 9.348
angles: 90.00 90.00 90.01
Fractional coordinates of all 4 atoms:
Tl 0.500 0.500 0.702
Tl 0.000 0.000 0.043
Re 0.500 0.500 0.295
Cu 0.000 0.000 0.461

Space group   P4mm
D(E_F)   3.16 states/eV/cell
Crystal system   tetragonal

---

c | Entry from the Alexandria database: Tl2CuRe after structural relaxation (GGA-PBEsol).

abc: 2.887 4.788 5.384
angles: 90.00 90.00 90.00
Fractional coordinates of all 4 atoms:
Cu 0.500 0.500 0.000
Tl 0.000 0.000 0.000
Tl 0.500 0.000 0.500
Re 0.000 0.500 0.500

Space group   Pmmm
D(E_F)   1.88 states/eV/cell
Crystal system   orthorhombic

---

It comes down to b, which is 16.3 kJ/mol of atoms more stable than the next structure.

---

a | Entry from the Alexandria database: Zn2CuRe after structural relaxation (GGA-PBEsol).

abc: 3.644 3.644 4.741
angles: 112.60 112.60 90.00
Fractional coordinates of all 4 atoms:
Zn 0.000 0.000 0.000
Zn 0.750 0.250 0.500
Re 0.250 0.750 0.500
Cu 0.500 0.500 0.000

Space group   I-4m2
D(E_F)   1.96 states/eV/cell
Crystal system   tetragonal

---

b | Entry from the Alexandria database: Zn2CuRe after structural relaxation (GGA-PBEsol).

abc: 2.613 2.613 7.765
angles: 90.00 90.00 90.00
Fractional coordinates of all 4 atoms:
Zn 0.000 0.000 0.003
Zn 0.500 0.500 0.261
Cu 0.000 0.000 0.494
Re 0.500 0.500 0.742

Space group   P4mm
D(E_F)   1.53 states/eV/cell
Crystal system   tetragonal

---

It comes down to b, which is 17.8 kJ/mol of atoms more stable than the next structure.

---

a | Entry from the Alexandria database: ZnCu2Re after structural relaxation (GGA-PBEsol).

abc: 2.621 4.418 4.418
angles: 90.00 90.00 90.00
Fractional coordinates of all 4 atoms:
Cu 0.000 0.000 0.500
Cu 0.000 0.500 0.000
Re 0.500 0.500 0.500
Zn 0.500 0.000 0.000

Space group   P4/mmm
D(E_F)   2.59 states/eV/cell
Crystal system   tetragonal

---

b | Entry from the Alexandria database: ZnCu2Re after structural relaxation (GGA-PBEsol).

abc: 2.584 2.584 7.593
angles: 90.00 90.00 89.80
Fractional coordinates of all 4 atoms:
Re 0.500 0.500 0.500
Zn 0.500 0.500 0.000
Cu 0.000 0.000 0.758
Cu 0.000 0.000 0.242

Space group   Cmmm
D(E_F)   2.11 states/eV/cell
Crystal system   orthorhombic

---

c | Entry from the Alexandria database: ZnCu2Re after structural relaxation (GGA-PBEsol).

abc: 2.595 3.551 5.483
angles: 90.00 90.00 90.00
Fractional coordinates of all 4 atoms:
Cu 0.000 0.000 0.003
Cu 0.500 0.500 0.238
Zn 0.500 0.500 0.768
Re 0.000 0.000 0.492

Space group   Pmm2
D(E_F)   2.40 states/eV/cell
Crystal system   orthorhombic

---

It comes down to b, which is 11.7 kJ/mol of atoms more stable than the next structure.

---

a | Entry from the Alexandria database: Sc3CuRh after structural relaxation (GGA-PBEsol).

abc: 4.896 4.896 4.896
angles: 90.00 90.00 90.00
Fractional coordinates of all 5 atoms:
Rh 0.000 0.000 0.000
Cu 0.500 0.500 0.500
Sc 0.000 0.500 0.000
Sc 0.500 0.000 0.000
Sc 0.000 0.000 0.500

Space group   Pm-3m
D(E_F)   3.47 states/eV/cell
Crystal system   cubic

---

b | Entry from the Alexandria database: Sc3CuRh after structural relaxation (GGA-PBEsol).

abc: 4.732 4.732 4.732
angles: 90.00 90.00 90.00
Fractional coordinates of all 5 atoms:
Cu 0.000 0.000 0.000
Sc 0.000 0.000 0.500
Sc 0.000 0.500 0.000
Sc 0.500 0.000 0.000
Rh 0.500 0.500 0.500

Space group   Pm-3m
D(E_F)   5.22 states/eV/cell
Crystal system   cubic

---

It comes down to a, which is 23.4 kJ/mol of atoms more stable than the next structure.

---

a | Entry from the Alexandria database: SrCu2Rh after structural relaxation (GGA-PBEsol).

abc: 4.231 4.231 5.653
angles: 68.03 68.03 60.00
Fractional coordinates of all 4 atoms:
Rh 0.560 0.560 0.319
Cu 0.246 0.246 0.262
Cu 0.936 0.936 0.191
Sr 0.749 0.749 0.752

Space group   R3m
D(E_F)   2.17 states/eV/cell
Crystal system   trigonal

---

b | Entry from the Alexandria database: SrCu2Rh after structural relaxation (GGA-PBEsol).

abc: 3.166 3.166 6.765
angles: 90.00 90.00 90.00
Fractional coordinates of all 4 atoms:
Sr 0.500 0.500 0.741
Cu 0.000 0.000 0.076
Cu 0.500 0.500 0.241
Rh 0.000 0.000 0.442

Space group   P4mm
D(E_F)   2.55 states/eV/cell
Crystal system   tetragonal

---

c | Entry from the Alexandria database: SrCu2Rh after structural relaxation (GGA-PBEsol).

abc: 4.218 4.218 5.623
angles: 67.80 67.80 60.02
Fractional coordinates of all 4 atoms:
Cu 0.309 0.309 0.574
Cu 0.691 0.691 0.426
Rh 0.000 0.000 0.500
Sr 0.500 0.500 0.000

Space group   C2/m
D(E_F)   2.27 states/eV/cell
Crystal system   monoclinic

---

It comes down to c, which is 0.6 kJ/mol of atoms more stable than the next structure.

---

a | Entry from the Alexandria database: SrCuRh2 after structural relaxation (GGA-PBEsol).

abc: 3.209 3.209 6.842
angles: 90.00 90.00 90.00
Fractional coordinates of all 4 atoms:
Cu 0.500 0.500 0.818
Rh 0.500 0.500 0.187
Rh 0.000 0.000 0.993
Sr 0.000 0.000 0.501

Space group   P4mm
D(E_F)   4.48 states/eV/cell
Crystal system   tetragonal

---

b | Entry from the Alexandria database: SrCuRh2 after structural relaxation (GGA-PBEsol).

abc: 4.256 4.774 4.256
angles: 63.53 90.00 116.47
Site moments in Bohr magnetons follow the coordinates.
Fractional coordinates of all 4 atoms:
Rh 0.000 0.000 0.000  0.35
Rh 0.250 0.500 0.250  0.35
Cu 0.750 0.500 0.750  0.02
Sr 0.500 0.000 0.500  -0.01

Space group   I-4m2
D(E_F)   6.09 states/eV/cell
Crystal system   tetragonal

---

It comes down to a, which is 10.9 kJ/mol of atoms more stable than the next structure.